Computed, not measured: a relaxed PtW2 crystal at the PBE level of DFT.

Cell and atoms, written as POSCAR:
```
PtW2
1.0
7.8289 0.0000 0.0000
-3.9145 6.7801 0.0000
0.0000 0.0000 2.6982
Pt W
3 6
direct
0.0000 0.0000 0.0000
0.3333 0.6667 0.5000
0.6667 0.3333 0.5000
0.0000 0.3038 0.5000
0.0000 0.6355 0.0000
0.3038 0.0000 0.5000
0.3645 0.3645 0.0000
0.6355 0.0000 0.0000
0.6962 0.6962 0.5000
```

Output
DFT total energy = -31.96 eV/f.u.